The following is a DFT calculation (GGA-PBE) of an optimized crystal structure of Pa2Te4Pd.

Lattice parameters (Å, degrees): 7.4510 6.4409 8.4244 90.00 107.38 90.00
With the nearest neighbours (Å) after each atom.
Positions (direct):
Pa (0.7686, 0.7500, 0.0591)  8 Te 3.15-3.42, 1 Pd 3.30
Pa (0.2314, 0.2500, 0.9409)  8 Te 3.15-3.42, 1 Pd 3.30
Pa (0.2755, 0.2500, 0.4332)  6 Te 3.05-3.17
Pa (0.7245, 0.7500, 0.5668)  6 Te 3.05-3.17
Te (0.5240, 0.4929, 0.2470)  1 Pd 2.66
Te (0.0745, 0.7500, 0.8694)  1 Pd 2.62
Te (0.9255, 0.2500, 0.1306)  1 Pd 2.62
Te (0.5240, 0.0071, 0.2470)  1 Pd 2.66
Te (0.9374, 0.2500, 0.5801)  1 Pd 2.59
Te (0.4760, 0.9929, 0.7530)  1 Pd 2.66
Te (0.4760, 0.5071, 0.7530)  1 Pd 2.66
Te (0.0626, 0.7500, 0.4199)  1 Pd 2.59
Pd (0.2326, 0.7500, 0.1924)  4 Te 2.59-2.66
Pd (0.7674, 0.2500, 0.8076)  4 Te 2.59-2.66

ΔE_f (raw) = -0.637 eV/atom
DOS(E_F) = 19.0 states/eV/cell